1.
MnNbAg2Pd | PBE-GGA | relaxed

Properties
D(E_F) (states/eV/f.u.): 3.7
Spin magnetization (μB per atom): 0.21
Formation energy (eV/atom): 1.4345

Lattice parameters (Å, degrees): 5.113 5.113 4.374 90.00 90.00 90.00
Positions (direct):
Mn (0.000, 0.000, 0.000)
Nb (0.000, 0.000, 0.500)
Ag (0.000, 0.500, 0.500)
Ag (0.500, 0.000, 0.500)
Pd (0.500, 0.500, 0.000)

***

2.
CdSi | PBE-GGA | relaxed

Properties
D(E_F) (states/eV/f.u.): 1.3
Formation energy from raw total energies (kJ/mol of formula units): 149
Spin magnetization (μB per atom): 0.00

Lattice parameters (Å, degrees): 5.330 5.330 5.572 90.00 90.00 90.00
Positions (direct):
Cd (0.000, 0.000, 0.000)
Cd (0.000, 0.500, 0.500)
Cd (0.500, 0.000, 0.500)
Si (0.000, 0.000, 0.500)
Si (0.000, 0.500, 0.000)
Si (0.500, 0.000, 0.000)

***

3.
Pm3Sm4DySe8 | PBE-GGA | relaxed

Properties
D(E_F) (states/eV/f.u.): 11.1
Formation energy from raw total energies (kJ/mol of formula units): -2792
Spin magnetization (μB per atom): 0.00

Lattice parameters (Å, degrees): 8.342 8.342 8.342 60.02 60.02 60.02
Positions (direct):
Pm (0.000, 0.500, 0.500)
Pm (0.500, 0.000, 0.500)
Pm (0.500, 0.500, 0.000)
Sm (0.000, 0.000, 0.500)
Sm (0.000, 0.500, 0.000)
Sm (0.500, 0.000, 0.000)
Sm (0.500, 0.500, 0.500)
Dy (0.000, 0.000, 0.000)
Se (0.245, 0.753, 0.753)
Se (0.247, 0.247, 0.755)
Se (0.247, 0.755, 0.247)
Se (0.249, 0.249, 0.249)
Se (0.751, 0.751, 0.751)
Se (0.753, 0.245, 0.753)
Se (0.753, 0.753, 0.245)
Se (0.755, 0.247, 0.247)

***

4.
CaCe3N | PBE-GGA | relaxed

Properties
D(E_F) (states/eV/f.u.): 9.3
Formation energy from raw total energies (kJ/mol of formula units): -191
Spin magnetization (μB per atom): 0.35

Lattice parameters (Å, degrees): 5.018 5.018 5.018 90.00 90.00 90.00
Positions (direct):
Ca (0.000, 0.000, 0.000)
Ce (0.000, 0.500, 0.500)
Ce (0.500, 0.000, 0.500)
Ce (0.500, 0.500, 0.000)
N (0.500, 0.500, 0.500)